## BeMoN2F (GGA+U)

Data for crystalline BeMoN2F at its relaxed geometry.

Output
Polymorph energy (0 for the lowest one) ... 0.000 eV/atom
Crystal system ... tetragonal
E_tot ... -29.3 eV per cell
Magnetization ... 1.82 μB per formula unit

Cell and atoms, written as POSCAR:
```
BeMoN2F
1.0
3.707 0.000 0.000
0.000 3.707 0.000
0.000 0.000 3.213
Be Mo N F
1 1 2 1
Direct
0.000 0.000 0.000
0.500 0.500 0.500
0.000 0.500 0.000
0.500 0.000 0.000
0.000 0.000 0.500
```